! LaHfPdPb2, relaxed, DFT GGA-PBE; values from VASP
! - Space-group type: No. 123
! - ΔE_f: 0.141 eV per atom
&SYSTEM
  ibrav = 0, nat = 5, ntyp = 4
/
ATOMIC_SPECIES
La 138.91 La.upf
Hf 178.49 Hf.upf
Pd 106.42 Pd.upf
Pb 207.20 Pb.upf
ATOMIC_POSITIONS angstrom
La 0.000 0.000 0.000
Hf 2.675 2.675 0.000
Pd 2.675 2.675 2.574
Pb 0.000 2.675 2.574
Pb 2.675 0.000 2.574
CELL_PARAMETERS angstrom
5.349 0.000 0.000
0.000 5.349 0.000
0.000 0.000 5.149